Entry 1:
! MnCSe2N, optimized geometry, DFT PBE-GGA; values from VASP
&SYSTEM
  ibrav = 0, nat = 5, ntyp = 4
/
ATOMIC_SPECIES
C 12.01 C.upf
Se 78.96 Se.upf
N 14.01 N.upf
Mn 54.94 Mn.upf
CELL_PARAMETERS angstrom
4.804 0.000 0.000
0.000 4.804 0.000
0.000 0.000 3.424
ATOMIC_POSITIONS crystal
C 0.500 0.500 0.500
Se 0.500 0.000 0.000
Se 0.000 0.500 0.000
N 0.000 0.000 0.500
Mn 0.000 0.000 0.000
! distance to the lowest polymorph of the same formula: 707 meV per atom
! Fermi-level density of states: 3.013 states/eV/cell
! formation energy from raw total energies: 1.4394 eV/atom
! magnetization: 1.59 Bohr magnetons per cell

***

Entry 2:
! SbAsSe2O, optimized geometry, DFT PBE-GGA; values from VASP
&SYSTEM
  ibrav = 0, nat = 5, ntyp = 4
/
ATOMIC_SPECIES
O 16.00 O.upf
As 74.92 As.upf
Sb 121.76 Sb.upf
Se 78.96 Se.upf
CELL_PARAMETERS angstrom
4.633 0.000 0.000
0.000 4.633 0.000
0.000 0.000 4.451
ATOMIC_POSITIONS crystal
O 0.000 0.000 0.000
As 0.000 0.000 0.500
Sb 0.500 0.500 0.500
Se 0.000 0.500 0.000
Se 0.500 0.000 0.000
! distance to the lowest polymorph of the same formula: 0 meV per atom
! Fermi-level density of states: 2.409 states/eV/cell
! formation energy from raw total energies: 0.3106 eV/atom
! magnetization: 0.00 Bohr magnetons per cell

***

Entry 3:
! YMgZrIn, optimized geometry, DFT PBE-GGA; values from VASP
&SYSTEM
  ibrav = 0, nat = 4, ntyp = 4
/
ATOMIC_SPECIES
Mg 24.30 Mg.upf
Zr 91.22 Zr.upf
Y 88.91 Y.upf
In 114.82 In.upf
CELL_PARAMETERS angstrom
5.144 0.000 0.000
2.572 4.455 0.000
2.572 1.485 4.200
ATOMIC_POSITIONS crystal
Mg 0.500 0.500 0.500
Zr 0.250 0.250 0.250
Y 0.750 0.750 0.750
In 0.000 0.000 0.000
! Fermi-level density of states: 3.308 states/eV/cell
! calculated formation energy: -0.76 eV per formula unit
! magnetization: 0.00 Bohr magnetons per cell

***

Entry 4:
! HoCdTe2, optimized geometry, DFT PBE-GGA; values from VASP
&SYSTEM
  ibrav = 0, nat = 4, ntyp = 3
/
ATOMIC_SPECIES
Te 127.60 Te.upf
Ho 164.93 Ho.upf
Cd 112.41 Cd.upf
CELL_PARAMETERS angstrom
4.327 0.000 0.000
2.163 3.747 0.000
2.163 1.249 7.786
ATOMIC_POSITIONS crystal
Te 0.257 0.257 0.230
Ho 0.666 0.666 0.003
Te 0.078 0.078 0.766
Cd 0.500 0.500 0.501
! distance to the lowest polymorph of the same formula: 0 meV per atom
! Fermi-level density of states: 2.175 states/eV/cell
! formation energy from raw total energies: -0.8019 eV/atom
! magnetization: 0.00 Bohr magnetons per cell

***

Entry 5:
! KLiBe2, optimized geometry, DFT PBE-GGA; values from VASP
&SYSTEM
  ibrav = 0, nat = 4, ntyp = 3
/
ATOMIC_SPECIES
K 39.10 K.upf
Li 6.94 Li.upf
Be 9.01 Be.upf
CELL_PARAMETERS angstrom
-2.220 1.743 0.662
-1.887 -3.343 2.475
0.692 -1.672 6.728
ATOMIC_POSITIONS crystal
K 0.500 0.500 0.500
Li 0.000 0.000 0.500
Be 0.000 0.000 0.000
Be 0.500 0.500 0.000
! distance to the lowest polymorph of the same formula: 856 meV per atom
! Fermi-level density of states: 1.257 states/eV/cell
! calculated formation energy: 4.13 eV per formula unit
! magnetization: 0.00 Bohr magnetons per cell

***

Entry 6:
! ScAgIN2, optimized geometry, DFT PBE-GGA; values from VASP
&SYSTEM
  ibrav = 0, nat = 5, ntyp = 4
/
ATOMIC_SPECIES
Sc 44.96 Sc.upf
Ag 107.87 Ag.upf
N 14.01 N.upf
I 126.90 I.upf
CELL_PARAMETERS angstrom
4.155 0.000 0.000
0.000 4.155 0.000
0.000 0.000 6.348
ATOMIC_POSITIONS crystal
Sc 0.000 0.000 0.000
Ag 0.500 0.500 0.500
N 0.000 0.500 0.000
I 0.000 0.000 0.500
N 0.500 0.000 0.000
! distance to the lowest polymorph of the same formula: 0 meV per atom
! Fermi-level density of states: 1.875 states/eV/cell
! formation energy from raw total energies: 0.5984 eV/atom
! magnetization: 0.92 Bohr magnetons per cell

***

Entry 7:
! Nd2Dy2In7, optimized geometry, DFT PBE-GGA; values from VASP
&SYSTEM
  ibrav = 0, nat = 11, ntyp = 3
/
ATOMIC_SPECIES
Nd 144.24 Nd.upf
In 114.82 In.upf
Dy 162.50 Dy.upf
CELL_PARAMETERS angstrom
-7.209 2.211 -1.657
-2.096 -3.396 4.586
1.509 5.739 4.939
ATOMIC_POSITIONS crystal
Nd 0.198 0.500 0.198
In 0.500 0.262 0.000
Dy 0.268 0.000 0.732
Nd 0.802 0.500 0.802
Dy 0.732 0.000 0.268
In 0.000 0.262 0.500
In 0.000 0.000 0.000
In 0.500 0.738 0.000
In 0.500 0.737 0.500
In 0.500 0.263 0.500
In 0.000 0.738 0.500
! Fermi-level density of states: 6.745 states/eV/cell
! calculated formation energy: 0.08 eV per formula unit
! magnetization: 0.00 Bohr magnetons per cell

***

Entry 8:
! Sn2SbPdAu, optimized geometry, DFT PBE-GGA; values from VASP
&SYSTEM
  ibrav = 0, nat = 5, ntyp = 4
/
ATOMIC_SPECIES
Sn 118.71 Sn.upf
Au 196.97 Au.upf
Pd 106.42 Pd.upf
Sb 121.76 Sb.upf
CELL_PARAMETERS angstrom
5.253 0.000 0.000
0.000 5.458 0.000
0.000 0.000 5.253
ATOMIC_POSITIONS crystal
Sn 0.000 0.000 0.500
Au 0.000 0.000 0.000
Pd 0.500 0.500 0.500
Sb 0.000 0.500 0.000
Sn 0.500 0.000 0.000
! Fermi-level density of states: 3.088 states/eV/cell
! formation energy from raw total energies: 0.6017 eV/atom
! magnetization: 0.00 Bohr magnetons per cell

***

Entry 9:
! Re2SbBr, optimized geometry, DFT PBE-GGA; values from VASP
&SYSTEM
  ibrav = 0, nat = 4, ntyp = 3
/
ATOMIC_SPECIES
Re 186.21 Re.upf
Br 79.90 Br.upf
Sb 121.76 Sb.upf
CELL_PARAMETERS angstrom
-1.087 -1.751 2.271
0.489 -2.544 -1.728
8.536 -1.984 2.556
ATOMIC_POSITIONS crystal
Re 0.000 0.790 0.045
Re 0.500 0.208 0.211
Br 0.500 0.903 0.816
Sb 0.000 0.600 0.428
! distance to the lowest polymorph of the same formula: 0 meV per atom
! Fermi-level density of states: 3.691 states/eV/cell
! formation energy from raw total energies: 0.2385 eV/atom
! magnetization: 0.00 Bohr magnetons per cell

***

Entry 10:
! CaCeGdDy, optimized geometry, DFT PBE-GGA; values from VASP
&SYSTEM
  ibrav = 0, nat = 4, ntyp = 4
/
ATOMIC_SPECIES
Gd 157.25 Gd.upf
Ce 140.12 Ce.upf
Ca 40.08 Ca.upf
Dy 162.50 Dy.upf
CELL_PARAMETERS angstrom
-4.489 -2.254 -2.837
0.510 -1.374 -5.580
0.092 -5.539 -1.610
ATOMIC_POSITIONS crystal
Gd 0.500 0.500 0.500
Ce 0.750 0.750 0.750
Ca 0.250 0.250 0.250
Dy 0.000 0.000 0.000
! Fermi-level density of states: 11.249 states/eV/cell
! calculated formation energy: 0.92 eV per formula unit
! magnetization: 9.39 Bohr magnetons per cell

***

Entry 11:
! Te2PtRh, optimized geometry, DFT PBE-GGA; values from VASP
&SYSTEM
  ibrav = 0, nat = 4, ntyp = 3
/
ATOMIC_SPECIES
Te 127.60 Te.upf
Rh 102.91 Rh.upf
Pt 195.08 Pt.upf
CELL_PARAMETERS angstrom
1.455 -4.326 -3.290
2.993 -4.215 2.220
-4.647 2.921 1.239
ATOMIC_POSITIONS crystal
Te 0.000 0.000 0.000
Rh 0.750 0.250 0.500
Pt 0.500 0.500 0.000
Te 0.250 0.750 0.500
! distance to the lowest polymorph of the same formula: 431 meV per atom
! Fermi-level density of states: 3.143 states/eV/cell
! formation energy from raw total energies: 0.1763 eV/atom
! magnetization: 0.00 Bohr magnetons per cell

***

Entry 12:
! Pm2ErZn4, optimized geometry, DFT PBE-GGA; values from VASP
&SYSTEM
  ibrav = 0, nat = 7, ntyp = 3
/
ATOMIC_SPECIES
Zn 65.41 Zn.upf
Pm 145.00 Pm.upf
Er 167.26 Er.upf
CELL_PARAMETERS angstrom
4.944 0.000 -1.576
-0.502 4.918 -1.576
-0.392 -0.435 7.312
ATOMIC_POSITIONS crystal
Zn 0.605 0.105 0.210
Pm 0.722 0.722 0.445
Er 0.000 0.000 0.000
Zn 0.395 0.895 0.790
Pm 0.278 0.278 0.555
Zn 0.895 0.395 0.790
Zn 0.105 0.605 0.210
! Fermi-level density of states: 5.299 states/eV/cell
! calculated formation energy: -1.08 eV per formula unit
! magnetization: 0.00 Bohr magnetons per cell

***

Number 1: total energy -26.5 eV per cell. Number 2: total energy -19.1 eV per cell. Number 3: total energy -20.1 eV per cell. Number 4: total energy -15.0 eV per cell. Number 5: total energy -6.3 eV per cell. Number 6: total energy -24.4 eV per cell. Number 7: total energy -37.8 eV per cell. Number 8: total energy -17.6 eV per cell. Number 9: total energy -29.7 eV per cell. Number 10: total energy -25.7 eV per cell. Number 11: total energy -19.0 eV per cell. Number 12: total energy -20.2 eV per cell.